Record 1
This record from Alexandria via LeMat-Bulk describes Rb2SiBCl6 after structural relaxation. The functional is PBE-GGA.

VASP energy: -66.992 eV per cell
Crystal system: tetragonal
Formation energy from raw total energies: -0.84 eV/atom
Theoretical density: 2.84 Mg/m³

Cell: 7.067 7.067 9.906 Å, 90.00 90.00 90.00°
Space group I4/mmm (No. 139)
Asymmetric unit:
1 Rb 0.000 0.500 0.250
2 Si 0.000 0.000 0.000
3 B 0.000 0.000 0.500
4 Cl 0.000 0.000 0.241
5 Cl 0.239 0.239 0.000



Record 2
This record from Alexandria via LeMat-Bulk describes Mg2NiMo after structural relaxation. The functional is PBE-GGA.

VASP energy: -37.657 eV per cell
Excess energy over the best structure of this formula in the dataset: 180 meV/atom
Crystal system: orthorhombic
DFT formation energy: 0.243 eV/atom
Theoretical density: 5.17 Mg/m³

Cell: 2.793 4.758 9.833 Å, 90.00 90.00 90.00°
Space group Imm2 (No. 44)
Asymmetric unit:
1 Mg 0.000 0.000 0.000
2 Mg 0.000 0.500 0.213
3 Ni 0.000 0.500 0.726
4 Mo 0.000 0.000 0.439



Record 3
This record from Alexandria via LeMat-Bulk describes ZnMo2Se after structural relaxation. The functional is PBE-GGA.

VASP energy: -49.531 eV per cell
Excess energy over the best structure of this formula in the dataset: 313 meV/atom
Crystal system: tetragonal
Formation energy from raw total energies: 0.41 eV/atom
Theoretical density: 8.88 Mg/m³

Cell: 3.892 3.892 8.301 Å, 90.00 90.00 90.00°
Space group I-4m2 (No. 119)
Asymmetric unit:
1 Zn 0.000 0.000 0.000
2 Mo 0.000 0.000 0.500
3 Mo 0.000 0.500 0.750
4 Se 0.000 0.500 0.250



Record 4
This record from Alexandria via LeMat-Bulk describes EuErLu after structural relaxation. The functional is PBE-GGA.

VASP energy: -19.132 eV per cell
Excess energy over the best structure of this formula in the dataset: 0 meV/atom
Crystal system: trigonal
DFT formation energy: 0.075 eV/atom
Theoretical density: 8.38 Mg/m³

Cell: 3.5873 3.5873 8.7889 Å, 90.00 90.00 120.00°
Space group P3m1 (No. 156)
Asymmetric unit:
1 Eu 0.0000 0.0000 0.0000
2 Er 0.6667 0.3333 0.3484
3 Lu 0.3333 0.6667 0.6564



Record 5
This record from Alexandria via LeMat-Bulk describes Sc2TlRuPt after structural relaxation. The functional is PBE-GGA.

VASP energy: -28.164 eV per cell
Crystal system: tetragonal
DFT formation energy: 0.436 eV/atom
Theoretical density: 7.86 Mg/m³

Cell: 4.977 4.977 5.037 Å, 90.00 90.00 90.00°
Space group P4/mmm (No. 123)
Asymmetric unit:
1 Sc 0.000 0.500 0.000
2 Tl 0.000 0.000 0.500
3 Ru 0.500 0.500 0.500
4 Pt 0.000 0.000 0.000



Record 6
This record from Alexandria via LeMat-Bulk describes SmThGe after structural relaxation. The functional is PBE-GGA.

VASP energy: -17.326 eV per cell
Crystal system: trigonal
DFT formation energy: -0.190 eV/atom
Theoretical density: 8.89 Mg/m³

Cell: 4.8271 4.8271 4.2129 Å, 90.00 90.00 120.00°
Space group P3m1 (No. 156)
Asymmetric unit:
1 Sm 0.0000 0.0000 0.0000
2 Th 0.3333 0.6667 0.5246
3 Ge 0.6667 0.3333 0.2143



Record 7
This record from Alexandria via LeMat-Bulk describes CdGaSnSb after structural relaxation. The functional is PBE-GGA.

VASP energy: -45.815 eV per cell
Crystal system: cubic
Formation energy from raw total energies: 0.15 eV/atom
Theoretical density: 6.91 Mg/m³

Cell: 7.405 7.405 7.405 Å, 90.00 90.00 90.00°
Space group F-43m (No. 216)
Asymmetric unit:
1 Cd 0.000 0.000 0.000
2 Ga 0.250 0.250 0.750
3 Sn 0.250 0.250 0.250
4 Sb 0.000 0.000 0.500



Record 8
This record from Alexandria via LeMat-Bulk describes Na2PRu2 after structural relaxation. The functional is PBE-GGA.

VASP energy: -53.480 eV per cell
Excess energy over the best structure of this formula in the dataset: 0 meV/atom
Crystal system: tetragonal
DFT formation energy: -0.028 eV/atom
Theoretical density: 5.11 Mg/m³

Cell: 5.952 5.952 5.121 Å, 90.00 90.00 90.00°
Space group P4/mbm (No. 127)
Asymmetric unit:
1 Na 0.172 0.328 0.000
2 P 0.000 0.000 0.500
3 Ru 0.149 0.649 0.500